[1]
First-principles (GGA-PBE) data for crystalline Pr5SmDy2Tm at its relaxed geometry, as listed in Alexandria.

Density ... 7.100 g/cm3
Total moment ... 0.000 μB per atom

Unit cell a=5.6697 b=20.6355 c=10.7857 alpha=90.00 beta=90.00 gamma=90.00
Closest atoms and distances in Å follow each position.
Space group Cmc2_1 (No. 36)
Inequivalent atoms, fractional coordinates:
Pr  0.0000  0.0148  0.0000  2 Tm 3.31, 3 Dy 3.50-3.60
Pr  0.0000  0.2799  0.2942  1 Tm 3.10, 1 Dy 3.40, 2 Pr 3.43
Pr  0.0000  0.2953  0.6869  2 Pr 3.43, 1 Tm 3.46, 2 Sm 3.53, 3 Dy 3.57-3.81
Pr  0.0000  0.3857  0.0049  6 Pr 3.60-3.90, 4 Dy 3.65-3.68, 1 Sm 3.85
Pr  0.0000  0.4835  0.7280  2 Tm 3.28-3.41, 2 Dy 3.55, 2 Pr 3.60-3.62
Sm  0.0000  0.1993  0.9925  2 Dy 3.43-3.66, 6 Pr 3.53-3.81, 2 Tm 3.62
Dy  0.0000  0.1116  0.7224  1 Sm 3.43, 7 Pr 3.54-3.81, 2 Tm 3.75
Dy  0.0000  0.1150  0.2912  9 Pr 3.40-3.76, 1 Sm 3.66
Tm  0.0000  0.4070  0.4478  6 Pr 3.10-3.46

[2]
First-principles (GGA-PBE) data for crystalline PrSm3DyTm at its relaxed geometry, as listed in Alexandria.

Density ... 7.689 g/cm3
Total moment ... 0.000 μB per atom

Unit cell a=5.8132 b=11.6821 c=11.7458 alpha=90.00 beta=90.00 gamma=90.00
Closest atoms and distances in Å follow each position.
Space group Cmcm (No. 63)
Inequivalent atoms, fractional coordinates:
Pr  0.0000  0.0286  0.2500  4 Sm 3.15-3.47, 1 Tm 3.50
Sm  0.0000  0.1743  0.5348  3 Sm 3.40-3.50, 2 Pr 3.47-3.75, 2 Dy 3.57, 1 Tm 3.80
Sm  0.0000  0.3683  0.7500  2 Pr 3.15, 2 Dy 3.31, 2 Sm 3.40
Dy  0.0000  0.5000  0.0000  6 Sm 3.31-3.57, 2 Tm 3.55
Tm  0.0000  0.3285  0.2500  3 Pr 3.50-3.73, 9 Sm 3.54-3.85, 2 Dy 3.55

Short version: total DFT energy (no corrections) = -4.56 -4.55 eV per atom, in the order given.